Entry 1:
This record from the Alexandria database describes an optimized crystal structure of VFeCo2. The functional is PBE.

## Properties
ΔE_f = -27.6 meV/atom
N(E_F) = 1.276 states/eV per atom
V = 11.6 A^3/atom

Cell: 2.9853 2.9853 5.2051 Å, 90.00 90.00 90.00°
Space group P4/mmm (No. 123)
Inequivalent atoms, fractional coordinates:
V: 0.0000 0.0000 0.0000 [1 per cell]
Fe: 0.0000 0.0000 0.5000 [1 per cell]
Co: 0.5000 0.5000 0.2505 [2 per cell]

=====

Entry 2:
This record from the Alexandria database describes an optimized crystal structure of V3FeCo. The functional is PBE.

## Properties
distance to the lowest polymorph of the same formula = 0.00 eV per formula unit
ΔE_f = 101.9 meV/atom
N(E_F) = 1.061 states/eV per atom
V = 12.8 A^3/atom

Cell: 11.0975 8.2865 5.5923 Å, 90.00 96.10 90.00°
Space group C2/c (No. 15)
Inequivalent atoms, fractional coordinates:
V: 0.0993 0.0393 0.3921 [8 per cell]
V: 0.1182 0.2966 0.0810 [8 per cell]
V: 0.1455 0.3151 0.5685 [8 per cell]
Fe: 0.0000 0.1883 0.7500 [4 per cell]
Fe: 0.0000 0.4936 0.2500 [4 per cell]
Co: 0.2336 0.4866 0.8498 [8 per cell]

=====

Entry 3:
This record from the Alexandria database describes an optimized crystal structure of V2FeCo3. The functional is PBE.

## Properties
ΔE_f = -17.9 meV/atom
N(E_F) = 1.166 states/eV per atom
V = 11.8 A^3/atom

Cell: 12.1309 4.0500 7.0483 Å, 90.00 125.45 90.00°
Space group C2/m (No. 12)
Inequivalent atoms, fractional coordinates:
V: 0.0371 0.0000 0.2112 [4 per cell]
V: 0.2063 0.5000 0.5498 [4 per cell]
Fe: 0.1252 0.5000 0.1188 [4 per cell]
Co: 0.0384 0.5000 0.7084 [4 per cell]
Co: 0.1271 0.0000 0.6206 [4 per cell]
Co: 0.2062 0.0000 0.0402 [4 per cell]

=====

Entry 4:
This record from the Alexandria database describes an optimized crystal structure of VFe2Co. The functional is PBE.

## Properties
distance to the lowest polymorph of the same formula = 2.02 eV per formula unit
ΔE_f = 403.5 meV/atom
N(E_F) = 1.173 states/eV per atom
V = 12.4 A^3/atom

Cell: 3.3642 3.3642 17.5224 Å, 90.00 90.00 90.00°
Space group I-42d (No. 122)
Inequivalent atoms, fractional coordinates:
V: 0.0000 0.0000 0.0000 [4 per cell]
Fe: 0.2454 0.2500 0.6250 [8 per cell]
Co: 0.0000 0.0000 0.5000 [4 per cell]

=====

Entry 5:
This record from the Alexandria database describes an optimized crystal structure of V2Fe2Co3. The functional is PBE.

## Properties
ΔE_f = 10.5 meV/atom
N(E_F) = 1.202 states/eV per atom
V = 11.5 A^3/atom

Cell: 2.5290 5.7231 6.2214 Å, 66.25 88.29 78.12°
Space group P-1 (No. 2)
Inequivalent atoms, fractional coordinates:
V: 0.1891 0.0791 0.1558 [2 per cell]
Fe: 0.3885 0.7676 0.5595 [2 per cell]
Co: 0.0714 0.3547 0.7314 [2 per cell]
Co: 0.5000 0.5000 0.0000 [1 per cell]

=====

Entry 6:
This record from the Alexandria database describes an optimized crystal structure of VFe14Co. The functional is PBE.

## Properties
ΔE_f = -44.1 meV/atom
N(E_F) = 0.641 states/eV per atom
V = 11.5 A^3/atom

Cell: 5.6880 8.0569 8.0565 Å, 90.00 90.00 90.00°
Space group Cmmm (No. 65)
Inequivalent atoms, fractional coordinates:
V: 0.0000 0.0000 0.0000 [2 per cell]
Fe: 0.0000 0.0000 0.5000 [2 per cell]
Fe: 0.0000 0.2502 0.2507 [8 per cell]
Fe: 0.0000 0.5000 0.5000 [2 per cell]
Fe: 0.2490 0.5000 0.2495 [8 per cell]
Fe: 0.2500 0.2500 0.0000 [4 per cell]
Fe: 0.2500 0.2500 0.5000 [4 per cell]
Co: 0.0000 0.5000 0.0000 [2 per cell]

=====

Entry 7:
This record from the Alexandria database describes an optimized crystal structure of V3FeCo. The functional is PBE.

## Properties
distance to the lowest polymorph of the same formula = 4.04 eV per formula unit
ΔE_f = 910.1 meV/atom
N(E_F) = 1.688 states/eV per atom
V = 15.2 A^3/atom

Cell: 4.2370 4.2370 4.2370 Å, 90.00 90.00 90.00°
Space group Pm-3m (No. 221)
Inequivalent atoms, fractional coordinates:
V: 0.0000 0.0000 0.5000 [3 per cell]
Fe: 0.0000 0.0000 0.0000 [1 per cell]
Co: 0.5000 0.5000 0.5000 [1 per cell]

=====

Entry 8:
This record from the Alexandria database describes an optimized crystal structure of V3Fe2Co8. The functional is PBE.

## Properties
ΔE_f = 163.9 meV/atom
N(E_F) = 1.183 states/eV per atom
V = 12.2 A^3/atom

Cell: 4.5518 4.5518 26.5340 Å, 90.00 90.00 120.00°
Space group R-3m (No. 166, hexagonal axes)
Inequivalent atoms, fractional coordinates:
V: 0.0000 0.0000 0.0000 [3 per cell]
V: 0.0000 0.0000 0.1853 [6 per cell]
Fe: 0.0000 0.0000 0.3597 [6 per cell]
Co: 0.0000 0.0000 0.2750 [6 per cell]
Co: 0.9997 0.4999 0.2305 [18 per cell]

=====

Which of these has the highest V? number 7

=====

Among the records above, which one has the highest ΔE_f? number 7

=====

Which of these has the highest N(E_F)? number 7